4
Lattice="0.000 3.530 3.530 3.530 0.000 3.530 3.530 3.530 0.000" Properties=species:S:1:pos:R:3 comment="LiGdHgAu, relaxed, DFT PBE" volume_a3_per_atom=21.989 total_magnetization_mub_per_atom=1.853 formation_enthalpy_0k_ev_per_fu=-2.16 energy_ev_per_cell=-21.7 pbc="T T T"
Li 0.000 0.000 0.000
Gd 3.530 3.530 3.530
Hg 1.765 1.765 1.765
Au 5.295 5.295 5.295